# Ca3TaSb, optimized geometry, DFT PBE
data_Ca3TaSb
_chemical_formula_sum 'Ca3 Ta1 Sb1'
_symmetry_space_group_name_H-M 'P m -3 m'
_symmetry_Int_Tables_number 221
_symmetry_space_group_name_Hall '-P 4 2 3'
_cell_length_a 5.5354
_cell_length_b 5.5354
_cell_length_c 5.5354
_cell_angle_alpha 90.00
_cell_angle_beta 90.00
_cell_angle_gamma 90.00
loop_
_atom_site_label
_atom_site_fract_x
_atom_site_fract_y
_atom_site_fract_z
Ca1 0.0000 0.0000 0.5000
Ta1 0.0000 0.0000 0.0000
Sb1 0.5000 0.5000 0.5000
# D(E_F)	6.96	states/eV per cell
# total magnetic moment	0.0	μB per formula unit
# energy relative to the elements, uncorrected	0.867	eV/atom
# E above lowest polymorph	17.9	kJ/mol of atoms